TmZr2Pb: optimized geometry, PBE.

Computed properties:
Total energy: -26.511 eV/f.u.
Formation energy from the elements: -119 kJ/mol of formula units
Size of the total moment: 0.0 Bohr magnetons per cell
Offset from the most stable computed form: 0.0 meV per atom
Space group: P2_1/m, No. 11

a = 4.3987 Å, b = 4.4084 Å, c = 10.8814 Å
α = 90.00°, β = 101.63°, γ = 90.00°
Fractional coordinates of all 8 atoms:
Tm  0.1880  0.2500  0.3768
Tm  0.8120  0.7500  0.6232
Zr  0.0541  0.7500  0.1085
Zr  0.4476  0.7500  0.8950
Zr  0.5524  0.2500  0.1050
Zr  0.9459  0.2500  0.8915
Pb  0.3364  0.2500  0.6719
Pb  0.6636  0.7500  0.3281


Tm2ZrPb: optimized geometry, PBE.

Computed properties:
Total energy: -21.861 eV/f.u.
Formation energy from the elements: -64 kJ/mol of formula units
Size of the total moment: 0.0 Bohr magnetons per cell
Offset from the most stable computed form: 8.0 meV per atom
Space group: P4/mmm, No. 123

a = 4.7149 Å, b = 4.7149 Å, c = 4.6356 Å
α = 90.00°, β = 90.00°, γ = 90.00°
Fractional coordinates of all 4 atoms:
Tm  0.0000  0.5000  0.0000
Tm  0.5000  0.0000  0.0000
Zr  0.0000  0.0000  0.5000
Pb  0.5000  0.5000  0.5000


TmZr2Pb: optimized geometry, PBE.

Computed properties:
Total energy: -25.845 eV/f.u.
Formation energy from the elements: -55 kJ/mol of formula units
Size of the total moment: 0.0 Bohr magnetons per cell
Offset from the most stable computed form: 166.5 meV per atom
Space group: P4/mmm, No. 123

a = 4.5733 Å, b = 4.5733 Å, c = 4.6343 Å
α = 90.00°, β = 90.00°, γ = 90.00°
Fractional coordinates of all 4 atoms:
Tm  0.0000  0.0000  0.0000
Zr  0.0000  0.5000  0.5000
Zr  0.5000  0.0000  0.5000
Pb  0.5000  0.5000  0.0000


Tm2ZrPb: optimized geometry, PBE.

Computed properties:
Total energy: -21.694 eV/f.u.
Formation energy from the elements: -48 kJ/mol of formula units
Size of the total moment: 0.0 Bohr magnetons per cell
Offset from the most stable computed form: 49.7 meV per atom
Space group: R3m, No. 160

a = 10.6445 Å, b = 10.6445 Å, c = 10.6445 Å
α = 18.85°, β = 18.85°, γ = 18.85°
Fractional coordinates of all 4 atoms:
Tm  0.0000  0.0000  0.0000
Tm  0.1645  0.1645  0.1645
Zr  0.4153  0.4153  0.4153
Pb  0.5821  0.5821  0.5821


Tm3Zr2Pb3: optimized geometry, PBE.

Computed properties:
Total energy: -44.990 eV/f.u.
Formation energy from the elements: -324 kJ/mol of formula units
Size of the total moment: 0.0 Bohr magnetons per cell
Space group: P6_3/mcm, No. 193

a = 8.8715 Å, b = 8.8715 Å, c = 6.1320 Å
α = 90.00°, β = 90.00°, γ = 120.00°
Fractional coordinates of all 16 atoms:
Tm  0.0000  0.2386  0.2500
Tm  0.0000  0.7614  0.7500
Tm  0.2386  0.0000  0.2500
Tm  0.2386  0.2386  0.7500
Tm  0.7614  0.0000  0.7500
Tm  0.7614  0.7614  0.2500
Zr  0.3333  0.6667  0.0000
Zr  0.3333  0.6667  0.5000
Zr  0.6667  0.3333  0.0000
Zr  0.6667  0.3333  0.5000
Pb  0.0000  0.3971  0.7500
Pb  0.0000  0.6029  0.2500
Pb  0.3971  0.0000  0.7500
Pb  0.3971  0.3971  0.2500
Pb  0.6029  0.0000  0.2500
Pb  0.6029  0.6029  0.7500


TmZr2Pb: optimized geometry, PBE.

Computed properties:
Total energy: -25.188 eV/f.u.
Formation energy from the elements: 9 kJ/mol of formula units
Size of the total moment: 0.0 Bohr magnetons per cell
Offset from the most stable computed form: 330.8 meV per atom
Space group: R3m, No. 160

a = 10.5967 Å, b = 10.5967 Å, c = 10.5967 Å
α = 18.29°, β = 18.29°, γ = 18.29°
Fractional coordinates of all 4 atoms:
Tm  0.0000  0.0000  0.0000
Zr  0.5823  0.5823  0.5823
Zr  0.7514  0.7514  0.7514
Pb  0.1666  0.1666  0.1666


TmZrPb2: optimized geometry, PBE.

Computed properties:
Total energy: -21.169 eV/f.u.
Formation energy from the elements: -71 kJ/mol of formula units
Size of the total moment: 0.0 Bohr magnetons per cell
Space group: R-3m, No. 166

a = 5.8710 Å, b = 5.8710 Å, c = 5.8710 Å
α = 49.13°, β = 49.13°, γ = 49.13°
Fractional coordinates of all 4 atoms:
Tm  0.0000  0.0000  0.0000
Zr  0.5000  0.5000  0.5000
Pb  0.2470  0.2470  0.2470
Pb  0.7530  0.7530  0.7530


Tm4ZrPb3: optimized geometry, PBE.

Computed properties:
Total energy: -40.883 eV/f.u.
Formation energy from the elements: -321 kJ/mol of formula units
Size of the total moment: 0.0 Bohr magnetons per cell
Space group: I4/mcm, No. 140

a = 8.9279 Å, b = 8.9279 Å, c = 8.9279 Å
α = 96.75°, β = 96.75°, γ = 139.91°
Fractional coordinates of all 16 atoms:
Tm  0.0774  0.7738  0.8512
Tm  0.2262  0.0774  0.3035
Tm  0.2738  0.5774  0.8512
Tm  0.4226  0.2738  0.6965
Tm  0.5774  0.7262  0.3035
Tm  0.7262  0.4226  0.1488
Tm  0.7738  0.9226  0.6965
Tm  0.9226  0.2262  0.1488
Zr  0.2500  0.7500  0.5000
Zr  0.7500  0.2500  0.5000
Pb  0.1632  0.3368  0.5000
Pb  0.2500  0.2500  0.0000
Pb  0.3368  0.8368  0.1736
Pb  0.6632  0.1632  0.8264
Pb  0.7500  0.7500  0.0000
Pb  0.8368  0.6632  0.5000


TmZrPb2: optimized geometry, PBE.

Computed properties:
Total energy: -21.218 eV/f.u.
Formation energy from the elements: -75 kJ/mol of formula units
Size of the total moment: 0.0 Bohr magnetons per cell
Space group: P4/mmm, No. 123

a = 3.9418 Å, b = 3.9418 Å, c = 6.6438 Å
α = 90.00°, β = 90.00°, γ = 90.00°
Fractional coordinates of all 4 atoms:
Tm  0.0000  0.0000  0.0000
Zr  0.0000  0.0000  0.5000
Pb  0.5000  0.5000  0.2633
Pb  0.5000  0.5000  0.7367


UPb4: optimized geometry, PBE.

Computed properties:
Total energy: -21.973 eV/f.u.
Formation energy from the elements: 400 kJ/mol of formula units
Size of the total moment: 2.9 Bohr magnetons per cell
Space group: Pm-3m, No. 221

a = 5.8916 Å, b = 5.8916 Å, c = 5.8916 Å
α = 90.00°, β = 90.00°, γ = 90.00°
Fractional coordinates of all 5 atoms:
U  0.0000  0.0000  0.0000
Pb  0.0000  0.0000  0.5000
Pb  0.0000  0.5000  0.0000
Pb  0.5000  0.0000  0.0000
Pb  0.5000  0.5000  0.5000


UPb: optimized geometry, PBE.

Computed properties:
Total energy: -14.334 eV/f.u.
Formation energy from the elements: 64 kJ/mol of formula units
Size of the total moment: 5.8 Bohr magnetons per cell
Space group: I4_1/amd, No. 141

a = 6.0637 Å, b = 6.0637 Å, c = 6.0637 Å
α = 135.71°, β = 135.71°, γ = 64.44°
Fractional coordinates of all 4 atoms:
U  0.3750  0.6250  0.7500
U  0.6250  0.3750  0.2500
Pb  0.1250  0.8750  0.2500
Pb  0.8750  0.1250  0.7500


UPb5: optimized geometry, PBE.

Computed properties:
Total energy: -28.804 eV/f.u.
Formation energy from the elements: 99 kJ/mol of formula units
Size of the total moment: 3.0 Bohr magnetons per cell
Space group: Cmmm, No. 65

a = 8.2488 Å, b = 8.2488 Å, c = 4.7151 Å
α = 90.00°, β = 90.00°, γ = 146.16°
Fractional coordinates of all 6 atoms:
U  0.0000  0.0000  0.0000
Pb  0.1674  0.8326  0.5000
Pb  0.3438  0.6562  0.0000
Pb  0.5000  0.5000  0.5000
Pb  0.6562  0.3438  0.0000
Pb  0.8326  0.1674  0.5000


UPb6: optimized geometry, PBE.

Computed properties:
Total energy: -27.125 eV/f.u.
Formation energy from the elements: 619 kJ/mol of formula units
Size of the total moment: 4.1 Bohr magnetons per cell
Space group: Im-3m, No. 229

a = 7.3791 Å, b = 7.3791 Å, c = 7.3791 Å
α = 109.47°, β = 109.47°, γ = 109.47°
Fractional coordinates of all 7 atoms:
U  0.0000  0.0000  0.0000
Pb  0.2500  0.5000  0.7500
Pb  0.2500  0.7500  0.5000
Pb  0.5000  0.2500  0.7500
Pb  0.5000  0.7500  0.2500
Pb  0.7500  0.2500  0.5000
Pb  0.7500  0.5000  0.2500


UPb: optimized geometry, PBE.

Computed properties:
Total energy: -14.325 eV/f.u.
Formation energy from the elements: 65 kJ/mol of formula units
Size of the total moment: 3.4 Bohr magnetons per cell
Space group: P4/mmm, No. 123

a = 3.3119 Å, b = 3.3119 Å, c = 4.8962 Å
α = 90.00°, β = 90.00°, γ = 90.00°
Fractional coordinates of all 2 atoms:
U  0.0000  0.0000  0.0000
Pb  0.5000  0.5000  0.5000


UZn2Pb: optimized geometry, PBE.

Computed properties:
Total energy: -16.823 eV/f.u.
Formation energy from the elements: 70 kJ/mol of formula units
Size of the total moment: 2.8 Bohr magnetons per cell
Space group: P4/mmm, No. 123

a = 4.4939 Å, b = 4.4939 Å, c = 4.3999 Å
α = 90.00°, β = 90.00°, γ = 90.00°
Fractional coordinates of all 4 atoms:
U  0.0000  0.0000  0.0000
Zn  0.0000  0.5000  0.5000
Zn  0.5000  0.0000  0.5000
Pb  0.5000  0.5000  0.0000


ZrUPb: optimized geometry, PBE.

Computed properties:
Total energy: -22.810 eV/f.u.
Formation energy from the elements: 71 kJ/mol of formula units
Size of the total moment: 4.5 Bohr magnetons per cell
Space group: R-3m, No. 166

a = 8.3294 Å, b = 8.3294 Å, c = 8.3294 Å
α = 33.95°, β = 33.95°, γ = 33.95°
Fractional coordinates of all 6 atoms:
Zr  0.0664  0.0664  0.0664
Zr  0.9336  0.9336  0.9336
U  0.3375  0.3375  0.3375
U  0.6625  0.6625  0.6625
Pb  0.2035  0.2035  0.2035
Pb  0.7965  0.7965  0.7965


VPb: optimized geometry, PBE.

Computed properties:
Total energy: -11.154 eV/f.u.
Formation energy from the elements: 161 kJ/mol of formula units
Size of the total moment: 5.1 Bohr magnetons per cell
Offset from the most stable computed form: 500.1 meV per atom
Space group: P4_2/mnm, No. 136

a = 5.6017 Å, b = 5.6017 Å, c = 5.5738 Å
α = 90.00°, β = 90.00°, γ = 90.00°
Fractional coordinates of all 8 atoms:
V  0.2176  0.2176  0.0000
V  0.2824  0.7176  0.5000
V  0.7176  0.2824  0.5000
V  0.7824  0.7824  0.0000
Pb  0.2221  0.2221  0.5000
Pb  0.2779  0.7221  0.0000
Pb  0.7221  0.2779  0.0000
Pb  0.7779  0.7779  0.5000


VPb: optimized geometry, PBE.

Computed properties:
Total energy: -11.995 eV/f.u.
Formation energy from the elements: 80 kJ/mol of formula units
Size of the total moment: 0.0 Bohr magnetons per cell
Offset from the most stable computed form: 79.6 meV per atom
Space group: P6_3/mmc, No. 194

a = 8.6297 Å, b = 8.6297 Å, c = 4.3953 Å
α = 90.00°, β = 90.00°, γ = 120.00°
Fractional coordinates of all 12 atoms:
V  0.1004  0.5502  0.2500
V  0.4498  0.5502  0.2500
V  0.4498  0.8996  0.2500
V  0.5502  0.1004  0.7500
V  0.5502  0.4498  0.7500
V  0.8996  0.4498  0.7500
Pb  0.2048  0.4096  0.7500
Pb  0.2048  0.7952  0.7500
Pb  0.4096  0.2048  0.2500
Pb  0.5904  0.7952  0.7500
Pb  0.7952  0.2048  0.2500
Pb  0.7952  0.5904  0.2500


VPb: optimized geometry, PBE.

Computed properties:
Total energy: -11.821 eV/f.u.
Formation energy from the elements: 97 kJ/mol of formula units
Size of the total moment: 1.2 Bohr magnetons per cell
Offset from the most stable computed form: 166.5 meV per atom
Space group: P2_12_12_1, No. 19

a = 6.3456 Å, b = 6.8218 Å, c = 7.9451 Å
α = 90.00°, β = 90.00°, γ = 90.00°
Fractional coordinates of all 16 atoms:
V  0.0335  0.0065  0.4035
V  0.2232  0.2161  0.0742
V  0.2768  0.7839  0.5742
V  0.4665  0.9935  0.9035
V  0.5335  0.4935  0.5965
V  0.7232  0.2839  0.9258
V  0.7768  0.7161  0.4258
V  0.9665  0.5065  0.0965
Pb  0.1029  0.1313  0.7430
Pb  0.1365  0.4263  0.4175
Pb  0.3635  0.5737  0.9175
Pb  0.3971  0.8687  0.2430
Pb  0.6029  0.3687  0.2570
Pb  0.6365  0.0737  0.5825
Pb  0.8635  0.9263  0.0825
Pb  0.8971  0.6313  0.7570


VPb: optimized geometry, PBE.

Computed properties:
Total energy: -11.496 eV/f.u.
Formation energy from the elements: 128 kJ/mol of formula units
Size of the total moment: 0.0 Bohr magnetons per cell
Offset from the most stable computed form: 328.8 meV per atom
Space group: Fddd, No. 70

a = 8.2280 Å, b = 7.3206 Å, c = 5.4649 Å
α = 78.64°, β = 60.73°, γ = 40.63°
Fractional coordinates of all 8 atoms:
V  0.0557  0.0557  0.1943
V  0.1943  0.1943  0.0557
V  0.8057  0.8057  0.9443
V  0.9443  0.9443  0.8057
Pb  0.2073  0.5427  0.2073
Pb  0.4573  0.7927  0.4573
Pb  0.5427  0.2073  0.5427
Pb  0.7927  0.4573  0.7927


VPb: optimized geometry, PBE.

Computed properties:
Total energy: -9.837 eV/f.u.
Formation energy from the elements: 288 kJ/mol of formula units
Size of the total moment: 14.6 Bohr magnetons per cell
Offset from the most stable computed form: 1158.4 meV per atom
Space group: Pm-3n, No. 223

a = 7.7465 Å, b = 7.7465 Å, c = 7.7465 Å
α = 90.00°, β = 90.00°, γ = 90.00°
Fractional coordinates of all 12 atoms:
V  0.0000  0.2500  0.5000
V  0.0000  0.7500  0.5000
V  0.2500  0.5000  0.0000
V  0.5000  0.0000  0.2500
V  0.5000  0.0000  0.7500
V  0.7500  0.5000  0.0000
Pb  0.0000  0.5000  0.2500
Pb  0.0000  0.5000  0.7500
Pb  0.2500  0.0000  0.5000
Pb  0.5000  0.2500  0.0000
Pb  0.5000  0.7500  0.0000
Pb  0.7500  0.0000  0.5000


VPb: optimized geometry, PBE.

Computed properties:
Total energy: -11.149 eV/f.u.
Formation energy from the elements: 162 kJ/mol of formula units
Size of the total moment: 1.3 Bohr magnetons per cell
Offset from the most stable computed form: 502.4 meV per atom
Space group: Fm-3m, No. 225

a = 3.9630 Å, b = 3.9630 Å, c = 3.9630 Å
α = 60.00°, β = 60.00°, γ = 60.00°
Fractional coordinates of all 2 atoms:
V  0.0000  0.0000  0.0000
Pb  0.5000  0.5000  0.5000


VPb: optimized geometry, PBE.

Computed properties:
Total energy: -12.118 eV/f.u.
Formation energy from the elements: 68 kJ/mol of formula units
Size of the total moment: 0.0 Bohr magnetons per cell
Offset from the most stable computed form: 17.7 meV per atom
Space group: Amm2, No. 38

a = 3.1649 Å, b = 6.9718 Å, c = 6.9718 Å
α = 121.95°, β = 90.00°, γ = 90.00°
Fractional coordinates of all 6 atoms:
V  0.0000  0.0000  0.0000
V  0.5000  0.1182  0.3137
V  0.5000  0.3137  0.1182
Pb  0.0000  0.1564  0.6920
Pb  0.0000  0.6920  0.1564
Pb  0.5000  0.6191  0.6191